No. 1
A geometry-optimized TbDySb2 structure, computed with PBE.

Calculated values
The calculation puts the formation energy (no corrections) at -1.140 eV per atom. The relative energy among the computed polymorphs is 0.3 kJ/mol of atoms. The calculation puts the total energy at -5.5094 eV per atom.

a b c (Å): 7.6049 7.6049 7.6049
angles (deg): 33.58 33.58 33.58
Fractional positions:
Tb1 0.0000 0.0000 0.0000
Dy1 0.5000 0.5000 0.5000
Sb1 0.2496 0.2496 0.2496
Sb2 0.7504 0.7504 0.7504

***

No. 2
A geometry-optimized NdSmPd4 structure, computed with PBE.

Calculated values
The relative energy among the computed polymorphs is 0.0 kJ/mol of atoms. The calculation puts the total energy at -5.8554 eV per atom.

a b c (Å): 10.1283 10.1283 5.8721
angles (deg): 90.00 90.00 155.67
Fractional positions:
Nd1 0.2236 0.7764 0.7500
Nd2 0.7764 0.2236 0.2500
Sm1 0.0771 0.9229 0.2500
Sm2 0.9229 0.0771 0.7500
Pd1 0.0724 0.9276 0.7500
Pd2 0.3546 0.6454 0.0127
Pd3 0.3546 0.6454 0.4873
Pd4 0.5000 0.5000 0.0000
Pd5 0.5000 0.5000 0.5000
Pd6 0.6454 0.3546 0.5127
Pd7 0.6454 0.3546 0.9873
Pd8 0.9276 0.0724 0.2500

***

No. 3
A geometry-optimized Y2AgB2 structure, computed with PBE.

Calculated values
The relative energy among the computed polymorphs is 33.6 kJ/mol of atoms. The calculation puts the total energy at -5.7214 eV per atom.

a b c (Å): 4.8913 4.8913 4.8913
angles (deg): 112.80 112.80 103.01
Fractional positions:
Y1 0.2500 0.7500 0.5000
Y2 0.7500 0.2500 0.5000
Ag1 0.0000 0.0000 0.0000
B1 0.3693 0.3693 0.0000
B2 0.6307 0.6307 0.0000

***

No. 4
A geometry-optimized RbLiSe3 structure, computed with PBE.

Calculated values
The calculation puts the formation energy (no corrections) at -0.278 eV per atom. The relative energy among the computed polymorphs is 0.0 kJ/mol of atoms. The calculation puts the total energy at -2.9446 eV per atom.

a b c (Å): 5.0149 5.0149 5.0149
angles (deg): 90.00 90.00 90.00
Fractional positions:
Rb1 0.0000 0.0000 0.0000
Li1 0.5000 0.5000 0.5000
Se1 0.0000 0.5000 0.5000
Se2 0.5000 0.0000 0.5000
Se3 0.5000 0.5000 0.0000

***

No. 5
A geometry-optimized Li2S2O7 structure, computed with PBE.

Calculated values
The calculation puts the formation energy (no corrections) at -1.650 eV per atom. The relative energy among the computed polymorphs is 0.0 kJ/mol of atoms. The calculation puts the total energy at -5.9032 eV per atom.

a b c (Å): 13.3575 8.3637 4.9539
angles (deg): 90.00 90.00 90.00
Fractional positions:
Li1 0.1040 0.0690 0.1031
Li2 0.1040 0.4310 0.1031
Li3 0.3960 0.5690 0.6031
Li4 0.3960 0.9310 0.6031
Li5 0.6040 0.0690 0.3969
Li6 0.6040 0.4310 0.3969
Li7 0.8960 0.5690 0.8969
Li8 0.8960 0.9310 0.8969
S1 0.0024 0.7500 0.3839
S2 0.2152 0.7500 0.2827
S3 0.2848 0.2500 0.7827
S4 0.4976 0.2500 0.8839
S5 0.5024 0.7500 0.1161
S6 0.7152 0.7500 0.2173
S7 0.7848 0.2500 0.7173
S8 0.9976 0.2500 0.6161
O1 0.0089 0.1037 0.7756
O2 0.0089 0.3963 0.7756
O3 0.0563 0.2500 0.3675
O4 0.1163 0.7500 0.5007
O5 0.2023 0.2500 0.9754
O6 0.2055 0.6033 0.1296
O7 0.2055 0.8967 0.1296
O8 0.2945 0.1033 0.6296
O9 0.2945 0.3967 0.6296
O10 0.2977 0.7500 0.4754
O11 0.3837 0.2500 0.0007
O12 0.4437 0.7500 0.8675
O13 0.4911 0.6037 0.2756
O14 0.4911 0.8963 0.2756
O15 0.5089 0.1037 0.7244
O16 0.5089 0.3963 0.7244
O17 0.5563 0.2500 0.1325
O18 0.6163 0.7500 0.9993
O19 0.7023 0.2500 0.5246
O20 0.7055 0.6033 0.3704
O21 0.7055 0.8967 0.3704
O22 0.7945 0.1033 0.8704
O23 0.7945 0.3967 0.8704
O24 0.7977 0.7500 0.0246
O25 0.8837 0.2500 0.4993
O26 0.9437 0.7500 0.6325
O27 0.9911 0.6037 0.2244
O28 0.9911 0.8963 0.2244

***

No. 6
A geometry-optimized ScZnGa structure, computed with PBE.

Calculated values
The calculation puts the total energy at -4.0603 eV per atom.

a b c (Å): 4.3130 4.3130 3.2842
angles (deg): 90.00 90.00 120.00
Fractional positions:
Sc1 0.0000 0.0000 0.0000
Zn1 0.3333 0.6667 0.5000
Ga1 0.6667 0.3333 0.5000